# 1
# Nd2DyEr5Sc

An optimized crystal structure of Nd2DyEr5Sc (GGA-PBE, Alexandria via LeMat-Bulk). Values from VASP.

Properties
- energy relative to the elements (eV per formula unit) = 2.5
- energy (eV/cell) = -81.6
- space-group type = I4/mcm, No. 140

```
&SYSTEM
  ibrav = 0, nat = 18, ntyp = 4
/
ATOMIC_SPECIES
Nd 144.24 Nd.upf
Dy 162.50 Dy.upf
Er 167.26 Er.upf
Sc 44.96 Sc.upf
CELL_PARAMETERS angstrom
-4.244 4.244 7.797
4.244 -4.244 7.797
4.244 4.244 -7.797
ATOMIC_POSITIONS crystal
Nd 0.120 0.620 0.739
Nd 0.380 0.120 0.500
Nd 0.620 0.880 0.500
Nd 0.880 0.380 0.261
Dy 0.250 0.250 0.000
Dy 0.750 0.750 0.000
Er 0.000 0.000 0.000
Er 0.067 0.147 0.500
Er 0.147 0.647 0.080
Er 0.353 0.433 0.500
Er 0.433 0.933 0.080
Er 0.500 0.500 0.000
Er 0.567 0.067 0.920
Er 0.647 0.567 0.500
Er 0.853 0.353 0.920
Er 0.933 0.853 0.500
Sc 0.250 0.750 0.500
Sc 0.750 0.250 0.500
```

---

# 2
# Rb2IrI6

An optimized crystal structure of Rb2IrI6 (GGA-PBE, Alexandria via LeMat-Bulk). Values from VASP.

Properties
- E_form (uncorrected) (eV/f.u.) = -5.241
- energy (eV/cell) = -50.7
- space-group type = P4_2/mnm, No. 136

```
&SYSTEM
  ibrav = 0, nat = 18, ntyp = 3
/
ATOMIC_SPECIES
Rb 85.47 Rb.upf
Ir 192.22 Ir.upf
I 126.90 I.upf
CELL_PARAMETERS angstrom
7.732 0.000 0.000
0.000 7.732 0.000
0.000 0.000 15.383
ATOMIC_POSITIONS crystal
Rb 0.000 0.000 0.169
Rb 0.000 0.000 0.831
Rb 0.500 0.500 0.331
Rb 0.500 0.500 0.669
Ir 0.000 0.000 0.500
Ir 0.500 0.500 0.000
I 0.173 0.173 0.374
I 0.173 0.173 0.626
I 0.246 0.754 0.500
I 0.254 0.254 0.000
I 0.327 0.673 0.126
I 0.327 0.673 0.874
I 0.673 0.327 0.126
I 0.673 0.327 0.874
I 0.746 0.746 0.000
I 0.754 0.246 0.500
I 0.827 0.827 0.374
I 0.827 0.827 0.626
```

---

# 3
# CrRu2Se

An optimized crystal structure of CrRu2Se (GGA-PBE, Alexandria via LeMat-Bulk). Values from VASP.

Properties
- E_form (uncorrected) (eV/f.u.) = 1.158
- energy (eV/cell) = -30.5
- space-group type = R-3m, No. 166

```
&SYSTEM
  ibrav = 0, nat = 4, ntyp = 3
/
ATOMIC_SPECIES
Cr 52.00 Cr.upf
Ru 101.07 Ru.upf
Se 78.96 Se.upf
CELL_PARAMETERS angstrom
1.413 0.816 8.211
-1.413 0.816 8.211
0.000 -1.631 8.211
ATOMIC_POSITIONS crystal
Cr 0.000 0.000 0.000
Ru 0.252 0.252 0.252
Ru 0.748 0.748 0.748
Se 0.500 0.500 0.500
```

---

# 4
# Ac2NdSi4

An optimized crystal structure of Ac2NdSi4 (GGA-PBE, Alexandria via LeMat-Bulk). Values from VASP.

Properties
- E_form (uncorrected) (eV/f.u.) = -4.004
- energy (eV/cell) = -38.7
- space-group type = Immm, No. 71

```
&SYSTEM
  ibrav = 0, nat = 7, ntyp = 3
/
ATOMIC_SPECIES
Ac 227.00 Ac.upf
Nd 144.24 Nd.upf
Si 28.09 Si.upf
CELL_PARAMETERS angstrom
-2.052 2.264 9.401
2.052 -2.264 9.401
2.052 2.264 -9.401
ATOMIC_POSITIONS crystal
Ac 0.183 0.183 0.000
Ac 0.817 0.817 0.000
Nd 0.000 0.500 0.500
Si 0.368 0.368 0.000
Si 0.437 0.937 0.500
Si 0.563 0.063 0.500
Si 0.632 0.632 0.000
```

---

# 5
# BaCaNdSbO6

An optimized crystal structure of BaCaNdSbO6 (GGA-PBE, Alexandria via LeMat-Bulk). Values from VASP.

Properties
- offset from the most stable computed form (meV per atom) = 83
- E_form (uncorrected) (eV/f.u.) = -24.823
- energy (eV/cell) = -67.4
- space-group type = F-43m, No. 216

```
&SYSTEM
  ibrav = 0, nat = 10, ntyp = 5
/
ATOMIC_SPECIES
Ba 137.33 Ba.upf
Ca 40.08 Ca.upf
Nd 144.24 Nd.upf
Sb 121.76 Sb.upf
O 16.00 O.upf
CELL_PARAMETERS angstrom
0.000 4.295 4.295
4.295 0.000 4.295
4.295 4.295 0.000
ATOMIC_POSITIONS crystal
Ba 0.000 0.000 0.000
Ca 0.500 0.500 0.500
Nd 0.250 0.250 0.250
Sb 0.750 0.750 0.750
O 0.517 0.517 0.983
O 0.517 0.983 0.517
O 0.517 0.983 0.983
O 0.983 0.517 0.517
O 0.983 0.517 0.983
O 0.983 0.983 0.517
```

---

# 6
# Zr5Se3

An optimized crystal structure of Zr5Se3 (GGA-PBE, Alexandria via LeMat-Bulk). Values from VASP.

Properties
- offset from the most stable computed form (meV per atom) = 80
- E_form (uncorrected) (eV/f.u.) = -5.687
- energy (eV/cell) = -58.9
- space-group type = Cmmm, No. 65

```
&SYSTEM
  ibrav = 0, nat = 8, ntyp = 2
/
ATOMIC_SPECIES
Zr 91.22 Zr.upf
Se 78.96 Se.upf
CELL_PARAMETERS angstrom
3.950 -4.277 0.000
3.950 4.277 0.000
0.000 0.000 4.692
ATOMIC_POSITIONS crystal
Zr 0.000 0.000 0.000
Zr 0.000 0.500 0.000
Zr 0.293 0.293 0.500
Zr 0.500 0.000 0.000
Zr 0.707 0.707 0.500
Se 0.209 0.791 0.500
Se 0.500 0.500 0.000
Se 0.791 0.209 0.500
```

---

| no. | total moment (Bohr magnetons per cell) | V (Å³/cell) | density (Mg/m³) |
| --- | --- | --- | --- |
| 1 | 0.00 | 561.74 | 7.88 |
| 2 | 2.45 | 919.71 | 4.06 |
| 3 | 0.00 | 56.77 | 9.74 |
| 4 | 0.56 | 174.73 | 6.75 |
| 5 | 0.00 | 158.45 | 5.65 |
| 6 | 0.00 | 158.54 | 7.26 |